The following is a DFT calculation (SCAN) of a crystal of YHfTeN2 relaxed with PBEsol.

Properties
Its formation energy (no corrections) is 0.633 eV per atom.

Cell lengths 4.233, 4.233, 5.708 Å; angles 90.00, 90.00, 90.00 degrees
Space group P4/mmm (No. 123)
One atom of each set of equivalent atoms:
Y1 0.000 0.000 0.000
Hf1 0.500 0.500 0.500
Te1 0.000 0.000 0.500
N1 0.000 0.500 0.000



The following is a DFT calculation (SCAN) of a crystal of Li2CuNi relaxed with PBEsol.

Properties
The formation energy is 0.031 eV/atom.

Cell lengths 2.439, 3.877, 5.039 Å; angles 90.00, 100.52, 90.00 degrees
Space group Pm (No. 6)
One atom of each set of equivalent atoms:
Li1 0.000 0.000 0.000
Li2 0.445 0.500 0.263
Cu1 0.485 0.500 0.732
Ni1 0.947 0.000 0.522



The following is a DFT calculation (SCAN) of a crystal of RbTlN2O relaxed with PBEsol.

Properties
Its formation energy (no corrections) is 0.947 eV per atom.

Cell lengths 4.508, 4.508, 4.401 Å; angles 90.00, 90.00, 90.00 degrees
Space group P4/mmm (No. 123)
One atom of each set of equivalent atoms:
Rb1 0.000 0.000 0.000
Tl1 0.500 0.500 0.500
N1 0.000 0.500 0.500
O1 0.500 0.500 0.000



Computed total magnetization, in the same sequence as the records: 1.257, 0.001, 4.003 μB/f.u..